VASP calculation (PBE-GGA) on Li2CaPb2 after structural relaxation.

Calculated values
* E above lowest polymorph: 72 meV per atom
* volume: 26.6 A^3/atom

a b c (Å): 4.509 4.509 7.218
angles (deg): 90.00 90.00 114.93
Fractional positions:
Li  0.835  0.165  0.500
Li  0.165  0.835  0.500
Ca  0.000  0.000  0.000
Pb  0.500  0.500  0.709
Pb  0.500  0.500  0.291

VASP calculation (PBE-GGA) on ZnSnSe2Br after structural relaxation.

Calculated values
* E above lowest polymorph: 444 meV per atom
* E_form (uncorrected): 0.352 eV/atom
* volume: 30.2 A^3/atom

a b c (Å): 5.303 5.378 5.303
angles (deg): 90.00 90.00 90.00
Fractional positions:
Zn  0.000  0.500  0.000
Se  0.000  0.000  0.500
Se  0.500  0.000  0.000
Sn  0.000  0.000  0.000
Br  0.500  0.500  0.500

VASP calculation (PBE-GGA) on CeH2 after structural relaxation.

Calculated values
* uncorrected energy: -3.89 eV/atom
* volume: 11.2 A^3/atom

a b c (Å): 4.568 4.568 4.568
angles (deg): 60.00 60.00 60.00
Fractional positions:
H  0.125  0.625  0.625
H  0.625  0.125  0.625
H  0.625  0.625  0.625
H  0.625  0.625  0.125
Ce  0.000  0.000  0.000
Ce  0.250  0.250  0.250

VASP calculation (PBE-GGA) on TcB2W after structural relaxation.

Calculated values
* E above lowest polymorph: 129 meV per atom
* volume: 11.0 A^3/atom

a b c (Å): 3.164 3.164 5.379
angles (deg): 72.90 72.90 60.00
Fractional positions:
B  0.252  0.252  0.245
B  0.748  0.748  0.755
Tc  0.000  0.000  0.000
W  0.500  0.500  0.500